{
  "formula": "In2HgIO",
  "functional": "PBE-GGA",
  "state": "optimized geometry",
  "energy_ev_per_atom": -2.30,
  "raw_formation_energy_ev_per_fu": 0.79,
  "sg": "No. 123",
  "cell": [[6.309, 0.000, 0.000], [0.000, 4.138, 0.000], [0.000, 0.000, 6.309]],
  "species": ["I", "Hg", "O", "In", "In"],
  "frac_coords": [[0.000, 0.000, 0.000], [0.500, 0.500, 0.500], [0.000, 0.500, 0.000], [0.000, 0.000, 0.500], [0.500, 0.000, 0.000]]
}